Here is an optimized crystal structure of In4Hg2Bi from the Alexandria database. Energies are from PBE.

Output
Symmetry ... No. 42
Formation energy ... 41.7 meV/atom
Mass density ... 8.9 g cm⁻³
Uncorrected energy ... -2.164 eV per atom
Total magnetization ... 0.000 μB/cell
Volume ... 28.61 Å³/atom

a = 6.1356 Å, b = 6.1356 Å, c = 7.7646 Å
α = 123.72°, β = 123.72°, γ = 66.11°
With the nearest neighbours (Å) after each atom.
Atoms (fractional coordinates):
Hg1 0.3552 0.6448 0.5000  6 In 3.04-3.11, 2 Hg 3.35
Hg2 0.8552 0.1448 0.5000  6 In 3.04-3.11, 2 Hg 3.35
In1 0.5040 0.8266 0.0000  2 Hg 3.04, 1 Bi 3.33, 1 In 3.40
In2 0.1734 0.4960 0.0000  2 Hg 3.04, 1 Bi 3.33, 1 In 3.40
In3 0.3818 0.1811 0.5629  4 Hg 3.07-3.11, 1 Bi 3.29, 2 In 3.43
In4 0.8189 0.6182 0.4371  4 Hg 3.07-3.11, 1 Bi 3.29, 2 In 3.43
Bi1 0.9114 0.0886 0.0000  8 In 3.29-3.51

Here is an optimized crystal structure of SrMo2P from the Alexandria database. Energies are from PBE.

Output
Symmetry ... No. 71
Formation energy ... 347.6 meV/atom
Mass density ... 6.8 g cm⁻³
Uncorrected energy ... -6.841 eV per atom
Total magnetization ... 0.000 μB/cell
Volume ... 19.00 Å³/atom

a = 5.9422 Å, b = 5.9422 Å, c = 5.9422 Å
α = 151.89°, β = 129.26°, γ = 59.01°
With the nearest neighbours (Å) after each atom.
Atoms (fractional coordinates):
P1 0.0000 0.5000 0.5000  4 Mo 2.49
Mo1 0.1962 0.1962 0.0000  2 P 2.49
Mo2 0.8038 0.8038 0.0000  2 P 2.49
Sr1 0.5000 0.0000 0.5000  2 Sr 2.89, 4 P 2.93

Here is an optimized crystal structure of Zr3Mn from the Alexandria database. Energies are from PBE.

Output
Symmetry ... No. 59
Formation energy ... 128.8 meV/atom
Mass density ... 6.6 g cm⁻³
Uncorrected energy ... -8.575 eV per atom
Total magnetization ... 6.090 μB/cell
Volume ... 20.75 Å³/atom

a = 5.0062 Å, b = 5.9883 Å, c = 5.5376 Å
α = 90.00°, β = 90.00°, γ = 90.00°
With the nearest neighbours (Å) after each atom.
Atoms (fractional coordinates):
Zr1 0.5000 0.7517 0.1401  8 Zr 2.94-3.26, 4 Mn 3.05-3.25
Zr2 0.5000 0.2483 0.1401  8 Zr 2.94-3.26, 4 Mn 3.05-3.25
Zr3 0.0000 0.7483 0.8599  8 Zr 2.94-3.26, 4 Mn 3.05-3.25
Zr4 0.5000 0.0000 0.6159  4 Mn 2.93-3.00, 8 Zr 3.03-3.26
Zr5 0.0000 0.2517 0.8599  8 Zr 2.94-3.26, 4 Mn 3.05-3.25
Zr6 0.0000 0.5000 0.3841  4 Mn 2.93-3.00, 8 Zr 3.03-3.26
Mn1 0.5000 0.5000 0.6609  12 Zr 2.93-3.25
Mn2 0.0000 0.0000 0.3391  12 Zr 2.93-3.25

Here is an optimized crystal structure of Sr2TiPd2 from the Alexandria database. Energies are from PBE.

Output
Symmetry ... No. 139
Formation energy ... 417.1 meV/atom
Mass density ... 5.3 g cm⁻³
Uncorrected energy ... -3.912 eV per atom
Total magnetization ... 0.144 μB/cell
Volume ... 27.48 Å³/atom

a = 4.6516 Å, b = 4.6516 Å, c = 7.1515 Å
α = 71.02°, β = 71.02°, γ = 90.00°
With the nearest neighbours (Å) after each atom.
Atoms (fractional coordinates):
Ti1 0.0000 0.0000 0.0000  8 Pd 3.52, 8 Sr 3.94
Pd1 0.5997 0.5997 0.8006  1 Pd 2.53
Pd2 0.4003 0.4003 0.1994  1 Pd 2.53
Sr1 0.7500 0.2500 0.5000  4 Pd 3.01, 4 Sr 3.29
Sr2 0.2500 0.7500 0.5000  4 Pd 3.01, 4 Sr 3.29

Here is an optimized crystal structure of CeYTl from the Alexandria database. Energies are from PBE.

Output
Symmetry ... No. 194
Formation energy ... -233.7 meV/atom
Mass density ... 8.3 g cm⁻³
Uncorrected energy ... -5.155 eV per atom
Total magnetization ... 3.476 μB/cell
Volume ... 28.80 Å³/atom

a = 5.4887 Å, b = 5.4887 Å, c = 6.6239 Å
α = 90.00°, β = 90.00°, γ = 120.01°
With the nearest neighbours (Å) after each atom.
Atoms (fractional coordinates):
Tl1 0.3334 0.1666 0.2500  5 Y 3.17-3.31
Tl2 0.6666 0.8334 0.7500  5 Y 3.17-3.31
Y1 0.3332 0.1668 0.7500  5 Tl 3.17-3.31
Y2 0.6668 0.8332 0.2500  5 Tl 3.17-3.31
Ce1 0.0000 0.5000 0.5000  2 Ce 3.31, 6 Y 3.57-3.58, 6 Tl 3.57-3.58
Ce2 0.0000 0.5000 0.0000  2 Ce 3.31, 6 Y 3.57-3.58, 6 Tl 3.57-3.58

Here is an optimized crystal structure of MgZnSe2 from the Alexandria database. Energies are from PBE.

Output
Symmetry ... No. 71
Mass density ... 3.7 g cm⁻³
Uncorrected energy ... -2.962 eV per atom
Total magnetization ... 0.000 μB/cell
Volume ... 27.53 Å³/atom

a = 5.7930 Å, b = 5.7930 Å, c = 5.7930 Å
α = 142.96°, β = 89.13°, γ = 102.53°
With the nearest neighbours (Å) after each atom.
Atoms (fractional coordinates):
Se1 0.5096 0.5096 0.0000  2 Zn 2.53, 2 Mg 2.63
Se2 0.9904 0.9904 0.0000  2 Zn 2.53, 2 Mg 2.63
Zn1 0.7500 0.2500 0.5000  4 Se 2.53
Mg1 0.2500 0.7500 0.5000  4 Se 2.63

Here is an optimized crystal structure of MnP2W from the Alexandria database. Energies are from PBE.

Output
Symmetry ... No. 12
Formation energy ... -19.2 meV/atom
Mass density ... 9.7 g cm⁻³
Uncorrected energy ... -8.255 eV per atom
Total magnetization ... 0.000 μB/cell
Volume ... 12.91 Å³/atom

a = 3.8773 Å, b = 3.8773 Å, c = 5.0794 Å
α = 78.82°, β = 78.82°, γ = 43.73°
With the nearest neighbours (Å) after each atom.
Atoms (fractional coordinates):
Mn1 0.2500 0.2500 0.2500  6 P 2.32-2.36
P1 0.9948 0.9948 0.0375  3 Mn 2.32-2.36, 3 W 2.51-2.54
P2 0.5052 0.5052 0.4625  3 Mn 2.32-2.36, 3 W 2.51-2.54
W1 0.7500 0.7500 0.7500  6 P 2.51-2.54

Here is an optimized crystal structure of AcMgAg2Sn4 from the Alexandria database. Energies are from PBE.

Output
Symmetry ... No. 166
Formation energy ... -207.3 meV/atom
Mass density ... 7.4 g cm⁻³
Uncorrected energy ... -3.634 eV per atom
Total magnetization ... 0.000 μB/cell
Volume ... 26.54 Å³/atom

a = 4.9169 Å, b = 4.9169 Å, c = 10.5307 Å
α = 76.50°, β = 76.50°, γ = 60.00°
With the nearest neighbours (Å) after each atom.
Atoms (fractional coordinates):
Sn1 0.8737 0.8737 0.3789  3 Mg 3.09, 3 Sn 3.33, 3 Ag 3.38
Sn2 0.4023 0.4023 0.7930  3 Ag 2.84, 1 Mg 2.97
Sn3 0.1263 0.1263 0.6211  3 Mg 3.09, 3 Sn 3.33, 3 Ag 3.38
Sn4 0.5977 0.5977 0.2070  3 Ag 2.84, 1 Mg 2.97
Ag1 0.2674 0.2674 0.1977  3 Sn 2.84
Ag2 0.7326 0.7326 0.8023  3 Sn 2.84
Ac1 0.0000 0.0000 0.0000  6 Ag 3.48, 8 Sn 3.53-3.84
Mg1 0.5000 0.5000 0.5000  8 Sn 2.97-3.09

Here is an optimized crystal structure of LiCdSn2 from the Alexandria database. Energies are from PBE.

Output
Symmetry ... No. 123
Formation energy ... -92.1 meV/atom
Mass density ... 6.4 g cm⁻³
Uncorrected energy ... -2.801 eV per atom
Total magnetization ... 0.000 μB/cell
Volume ... 23.07 Å³/atom

a = 3.2881 Å, b = 3.2881 Å, c = 8.5360 Å
α = 90.00°, β = 90.00°, γ = 90.00°
With the nearest neighbours (Å) after each atom.
Atoms (fractional coordinates):
Li1 0.5000 0.5000 0.0000  8 Sn 3.02, 4 Li 3.29
Cd1 0.5000 0.5000 0.5000  4 Cd 3.29, 8 Sn 3.30
Sn1 0.0000 0.0000 0.7744  4 Li 3.02, 4 Sn 3.29, 4 Cd 3.30
Sn2 0.0000 0.0000 0.2256  4 Li 3.02, 4 Sn 3.29, 4 Cd 3.30

Here is an optimized crystal structure of K2Si2HgS6 from the Alexandria database. Energies are from PBE.

Output
Symmetry ... No. 166
Mass density ... 2.7 g cm⁻³
Uncorrected energy ... -4.062 eV per atom
Total magnetization ... 0.000 μB/cell
Volume ... 29.12 Å³/atom

a = 6.9691 Å, b = 6.9691 Å, c = 8.6142 Å
α = 66.14°, β = 66.14°, γ = 60.00°
With the nearest neighbours (Å) after each atom.
Atoms (fractional coordinates):
S1 0.2502 0.7582 0.7413  1 Si 2.05
S2 0.2502 0.2502 0.7413  1 Si 2.05
S3 0.2418 0.7498 0.2587  1 Si 2.05
S4 0.7582 0.2502 0.7413  1 Si 2.05
S5 0.7498 0.7498 0.2587  1 Si 2.05
S6 0.7498 0.2418 0.2587  1 Si 2.05
Si1 0.5857 0.5857 0.2429  3 S 2.05
Si2 0.4143 0.4143 0.7571  3 S 2.05
Hg1 0.0000 0.0000 0.0000  6 S 2.79
K1 0.7834 0.7834 0.6499  9 S 3.55-3.58
K2 0.2166 0.2166 0.3501  9 S 3.55-3.58

Here is an optimized crystal structure of Na2MgOs from the Alexandria database. Energies are from PBE.

Output
Symmetry ... No. 122
Formation energy ... 1129.5 meV/atom
Mass density ... 4.8 g cm⁻³
Uncorrected energy ... -2.736 eV per atom
Total magnetization ... 2.664 μB/cell
Volume ... 22.57 Å³/atom

a = 8.1900 Å, b = 8.1900 Å, c = 6.3864 Å
α = 50.12°, β = 50.12°, γ = 90.00°
With the nearest neighbours (Å) after each atom.
Atoms (fractional coordinates):
Mg1 0.2500 0.7500 0.5000  2 Os 2.69
Mg2 0.5000 0.5000 0.0000  2 Os 2.69
Na1 0.6352 0.1250 0.2500  2 Na 2.70, 2 Os 2.92
Na2 0.3750 0.3648 0.7500  2 Na 2.70, 2 Os 2.92
Na3 0.8750 0.8852 0.7500  2 Na 2.70, 2 Os 2.92
Na4 0.1148 0.6250 0.2500  2 Na 2.70, 2 Os 2.92
Os1 0.7500 0.2500 0.5000  2 Mg 2.69, 4 Na 2.92
Os2 0.0000 0.0000 0.0000  2 Mg 2.69, 4 Na 2.92

Here is an optimized crystal structure of Sr4SbS2 from the Alexandria database. Energies are from PBE.

Output
Symmetry ... No. 63
Mass density ... 3.8 g cm⁻³
Uncorrected energy ... -4.273 eV per atom
Total magnetization ... 1.931 μB/cell
Volume ... 33.14 Å³/atom

a = 4.4755 Å, b = 7.4533 Å, c = 14.5797 Å
α = 90.00°, β = 90.00°, γ = 107.47°
With the nearest neighbours (Å) after each atom.
Atoms (fractional coordinates):
S1 0.8673 0.7346 0.9439  6 Sr 2.93-3.10
S2 0.1327 0.2654 0.4439  6 Sr 2.93-3.10
S3 0.8673 0.7346 0.5561  6 Sr 2.93-3.10
S4 0.1327 0.2654 0.0561  6 Sr 2.93-3.10
Sr1 0.5000 0.0000 0.5000  4 S 3.04
Sr2 0.2320 0.4639 0.8797  3 S 2.93-3.10
Sr3 0.0587 0.1174 0.2500  2 S 3.02, 2 Sb 3.31
Sr4 0.9413 0.8826 0.7500  2 S 3.02, 2 Sb 3.31
Sr5 0.7680 0.5361 0.1203  3 S 2.93-3.10
Sr6 0.5000 0.0000 0.0000  4 S 3.04
Sr7 0.2320 0.4639 0.6203  3 S 2.93-3.10
Sr8 0.7680 0.5361 0.3797  3 S 2.93-3.10
Sb1 0.6130 0.2260 0.7500  6 Sr 3.31-3.38
Sb2 0.3870 0.7740 0.2500  6 Sr 3.31-3.38

What is the formula in the fifth record? CeYTl

Which of these has the lowest mass density? K2Si2HgS6

Among the records above, which one has the highest mass density? MnP2W

Which of these has the lowest mass density? K2Si2HgS6